5
Lattice="4.0065 0.0000 0.0000 0.0000 6.1385 0.0000 0.0000 0.0000 4.0065" Properties=species:S:1:pos:R:3 comment="SrFeBrO2 | the Alexandria database | GGA+U | optimized geometry" space_group="No. 123" polymorph_energy_ev_per_atom=0.8512 dos_ef_per_ev_cell=2.16 pbc="T T T"
Br 2.0032 3.0692 2.0032
O 0.0000 0.0000 2.0032
O 2.0032 0.0000 0.0000
Sr 0.0000 3.0692 0.0000
Fe 0.0000 0.0000 0.0000